No. 1
VASP calculation (GGA-PBE) on PuGe2I8 after structural relaxation.

Computed properties:
Fermi-level density of states = 0.72 states/eV per atom
Magnetization = 7.967 μB per cell
E_form (uncorrected) = -0.508 eV/atom

Lattice parameters (Å, degrees): 13.1241 11.2664 8.1558 90.00 106.37 90.00
Space group C2/m (No. 12)
Asymmetric unit:
Pu 0.0000 0.0000 0.0000 x2
Ge 0.1624 0.0000 0.6152 x4
I 0.0772 0.1832 0.7882 x8
I 0.1379 0.5000 0.2078 x4
I 0.2142 0.0000 0.2567 x4

No. 2
VASP calculation (GGA-PBE) on AlPdPt3 after structural relaxation.

Computed properties:
Formation energy = 1.209 eV per atom
Fermi-level density of states = 1.45 states/eV per atom
ΔE to the lowest computed polymorph = 1615.7 meV per atom
Magnetization = 0.000 μB per cell

Lattice parameters (Å, degrees): 4.8281 4.8281 4.8281 90.00 90.00 90.00
Space group Pm-3m (No. 221)
Asymmetric unit:
Al 0.0000 0.0000 0.0000 x1
Pd 0.5000 0.5000 0.5000 x1
Pt 0.0000 0.5000 0.5000 x3

No. 3
VASP calculation (GGA-PBE) on CaLa2Pr after structural relaxation.

Computed properties:
Formation energy = 0.029 eV per atom
Fermi-level density of states = 1.53 states/eV per atom
ΔE to the lowest computed polymorph = 0.0 meV per atom
Magnetization = 0.000 μB per cell

Lattice parameters (Å, degrees): 3.7507 3.7507 37.4664 90.00 90.00 120.00
Space group R-3m (No. 166, hexagonal axes)
Asymmetric unit:
Ca 0.0000 0.0000 0.0000 x3
La 0.0000 0.0000 0.2468 x6
Pr 0.0000 0.0000 0.5000 x3

No. 4
VASP calculation (GGA-PBE) on BaCr2I after structural relaxation.

Computed properties:
Fermi-level density of states = 0.74 states/eV per atom
ΔE to the lowest computed polymorph = 0.0 meV per atom
Magnetization = 36.481 μB per cell
E_form (uncorrected) = 0.705 eV/atom

Lattice parameters (Å, degrees): 5.4419 5.4419 20.1840 90.00 90.00 90.00
Space group I4_1/amd (No. 141, origin choice 2)
Asymmetric unit:
Ba 0.0000 0.2500 0.3750 x4
Cr 0.0000 0.0000 0.0000 x8
I 0.0000 0.2500 0.8750 x4

No. 5
VASP calculation (GGA-PBE) on La8Cd3Os2 after structural relaxation.

Computed properties:
Formation energy = -0.107 eV per atom
Fermi-level density of states = 1.01 states/eV per atom
Magnetization = 0.000 μB per cell

Lattice parameters (Å, degrees): 17.7707 7.9881 5.4242 90.00 91.46 90.00
Space group C2/m (No. 12)
Asymmetric unit:
La 0.0715 0.0000 0.2619 x4
La 0.1687 0.2355 0.7370 x8
La 0.1730 0.5000 0.2281 x4
Cd 0.0000 0.3256 0.0000 x4
Cd 0.0000 0.5000 0.5000 x2
Os 0.2203 0.0000 0.2541 x4

No. 6
VASP calculation (GGA-PBE) on CdBi2H2 after structural relaxation.

Computed properties:
Fermi-level density of states = 0.47 states/eV per atom
ΔE to the lowest computed polymorph = 351.3 meV per atom
Magnetization = 0.000 μB per cell

Lattice parameters (Å, degrees): 7.5085 7.5085 3.3781 90.00 90.00 90.00
Space group P4/mbm (No. 127)
Asymmetric unit:
Cd 0.0000 0.0000 0.0000 x2
Bi 0.1432 0.3568 0.5000 x4
H 0.1141 0.6141 0.0000 x4

No. 7
VASP calculation (GGA-PBE) on CeSnS after structural relaxation.

Computed properties:
Fermi-level density of states = 1.66 states/eV per atom
Magnetization = 2.158 μB per cell
E_form (uncorrected) = -1.314 eV/atom

Lattice parameters (Å, degrees): 4.0817 4.0817 17.6471 90.00 90.00 90.00
Space group I4/mmm (No. 139)
Asymmetric unit:
Ce 0.0000 0.0000 0.1569 x4
Sn 0.0000 0.5000 0.0000 x4
S 0.0000 0.0000 0.3167 x4

No. 8
VASP calculation (GGA-PBE) on CaNbSnF2 after structural relaxation.

Computed properties:
Fermi-level density of states = 0.61 states/eV per atom
Magnetization = 1.002 μB per cell
E_form (uncorrected) = -1.381 eV/atom

Lattice parameters (Å, degrees): 4.3374 4.3374 5.7064 90.00 90.00 90.00
Space group P4/mmm (No. 123)
Asymmetric unit:
Ca 0.0000 0.0000 0.0000 x1
Nb 0.5000 0.5000 0.5000 x1
Sn 0.5000 0.5000 0.0000 x1
F 0.0000 0.5000 0.5000 x2

No. 9
VASP calculation (GGA-PBE) on LiTaTi3 after structural relaxation.

Computed properties:
Formation energy = 0.918 eV per atom
Fermi-level density of states = 1.36 states/eV per atom
ΔE to the lowest computed polymorph = 0.0 meV per atom
Magnetization = 2.932 μB per cell

Lattice parameters (Å, degrees): 4.4012 4.4012 4.4012 90.00 90.00 90.00
Space group Pm-3m (No. 221)
Asymmetric unit:
Li 0.0000 0.0000 0.0000 x1
Ta 0.5000 0.5000 0.5000 x1
Ti 0.0000 0.0000 0.5000 x3

No. 10
VASP calculation (GGA-PBE) on Li2TlCl3 after structural relaxation.

Computed properties:
Fermi-level density of states = 0.00 states/eV per atom
ΔE to the lowest computed polymorph = 26.9 meV per atom
Magnetization = 0.000 μB per cell
E_form (uncorrected) = -1.499 eV/atom

Lattice parameters (Å, degrees): 9.0533 12.1657 5.7377 90.00 90.00 90.00
Space group Cmcm (No. 63)
Asymmetric unit:
Li 0.1681 0.0000 0.0000 x8
Tl 0.0000 0.2834 0.2500 x4
Cl 0.0000 0.0972 0.7500 x4
Cl 0.2194 0.3772 0.7500 x8

No. 11
VASP calculation (GGA-PBE) on TmPuS2O after structural relaxation.

Computed properties:
Fermi-level density of states = 1.28 states/eV per atom
Magnetization = 9.507 μB per cell
E_form (uncorrected) = -2.321 eV/atom

Lattice parameters (Å, degrees): 3.8283 3.8283 13.6196 90.00 90.00 90.00
Space group P4/nmm (No. 129, origin choice 2)
Asymmetric unit:
Tm 0.2500 0.2500 0.1171 x2
Pu 0.2500 0.2500 0.5932 x2
S 0.2500 0.2500 0.3047 x2
S 0.2500 0.2500 0.9078 x2
O 0.2500 0.7500 0.5000 x2

No. 12
VASP calculation (GGA-PBE) on K2Sr2Tl15 after structural relaxation.

Computed properties:
Formation energy = -0.087 eV per atom
Fermi-level density of states = 0.71 states/eV per atom
Magnetization = 0.000 μB per cell

Lattice parameters (Å, degrees): 11.3879 11.3879 17.3418 90.00 90.00 120.00
Space group R-3m (No. 166, hexagonal axes)
Asymmetric unit:
K 0.0000 0.0000 0.1445 x6
Sr 0.0000 0.0000 0.3902 x6
Tl 0.0000 0.2917 0.5000 x18
Tl 0.0000 0.5000 0.0000 x9
Tl 0.0067 0.5034 0.6377 x18

No. 13
VASP calculation (GGA-PBE) on LaOsPt2 after structural relaxation.

Computed properties:
Formation energy = 0.070 eV per atom
Fermi-level density of states = 1.24 states/eV per atom
ΔE to the lowest computed polymorph = 491.6 meV per atom
Magnetization = 0.000 μB per cell

Lattice parameters (Å, degrees): 2.9619 2.9619 8.4027 90.00 90.00 90.00
Space group P4mm (No. 99)
Asymmetric unit:
La 0.0000 0.0000 0.0000 x1
Os 0.5000 0.5000 0.2923 x1
Pt 0.0000 0.0000 0.4922 x1
Pt 0.5000 0.5000 0.7249 x1

No. 14
VASP calculation (GGA-PBE) on Sm3PtPb2 after structural relaxation.

Computed properties:
Formation energy = -0.716 eV per atom
Fermi-level density of states = 0.73 states/eV per atom
Magnetization = 0.001 μB per cell

Lattice parameters (Å, degrees): 12.5909 4.5990 11.9788 90.00 90.00 90.00
Space group Pnma (No. 62)
Asymmetric unit:
Sm 0.0543 0.2500 0.1317 x4
Sm 0.1200 0.7500 0.5493 x4
Sm 0.2398 0.2500 0.8006 x4
Pt 0.1220 0.2500 0.3727 x4
Pb 0.0061 0.2500 0.6958 x4
Pb 0.1845 0.7500 0.0056 x4

No. 15
VASP calculation (GGA-PBE) on Pm6SbS4 after structural relaxation.

Computed properties:
Fermi-level density of states = 0.78 states/eV per atom
Magnetization = 0.002 μB per cell
E_form (uncorrected) = -1.701 eV/atom

Lattice parameters (Å, degrees): 4.1245 13.2731 20.6238 90.00 90.00 90.00
Space group Cmcm (No. 63)
Asymmetric unit:
Pm 0.0000 0.0000 0.0000 x4
Pm 0.0000 0.1597 0.2500 x4
Pm 0.0000 0.2724 0.5863 x8
Pm 0.0000 0.4578 0.1583 x8
Sb 0.0000 0.1622 0.7500 x4
S 0.0000 0.0926 0.1228 x8
S 0.0000 0.3609 0.0384 x8

No. 16
VASP calculation (GGA-PBE) on TbTiMnSi2 after structural relaxation.

Computed properties:
Fermi-level density of states = 0.52 states/eV per atom
Magnetization = 2.568 μB per cell
E_form (uncorrected) = -0.663 eV/atom

Lattice parameters (Å, degrees): 3.9327 3.9327 11.0137 90.00 90.00 90.00
Space group I-4m2 (No. 119)
Asymmetric unit:
Tb 0.0000 0.0000 0.0000 x2
Ti 0.0000 0.5000 0.7500 x2
Mn 0.0000 0.5000 0.2500 x2
Si 0.0000 0.0000 0.3902 x4

No. 17
VASP calculation (GGA-PBE) on CaMgCu2 after structural relaxation.

Computed properties:
Formation energy = 0.067 eV per atom
Fermi-level density of states = 0.33 states/eV per atom
Magnetization = 0.000 μB per cell

Lattice parameters (Å, degrees): 4.1653 4.1653 8.7514 90.00 90.00 90.00
Space group I-4m2 (No. 119)
Asymmetric unit:
Ca 0.0000 0.0000 0.0000 x2
Mg 0.0000 0.5000 0.2500 x2
Cu 0.0000 0.0000 0.5000 x2
Cu 0.0000 0.5000 0.7500 x2

No. 18
VASP calculation (GGA-PBE) on Ba2Si2GeAu6 after structural relaxation.

Computed properties:
Fermi-level density of states = 0.52 states/eV per atom
Magnetization = 0.000 μB per cell
E_form (uncorrected) = -0.384 eV/atom

Lattice parameters (Å, degrees): 6.7410 6.7410 24.4192 90.00 90.00 120.00
Space group R-3m (No. 166, hexagonal axes)
Asymmetric unit:
Ba 0.0000 0.0000 0.2114 x6
Si 0.0000 0.0000 0.4523 x6
Ge 0.0000 0.0000 0.0000 x3
Au 0.0412 0.5206 0.7468 x18

No. 19
VASP calculation (GGA-PBE) on GePd after structural relaxation.

Computed properties:
Formation energy = -0.012 eV per atom
Fermi-level density of states = 0.61 states/eV per atom
Magnetization = 0.000 μB per cell

Lattice parameters (Å, degrees): 5.6282 5.6282 5.6282 90.00 90.00 90.00
Space group F-43m (No. 216)
Asymmetric unit:
Ge 0.0000 0.0000 0.0000 x4
Pd 0.2500 0.2500 0.7500 x4

No. 20
VASP calculation (GGA-PBE) on Sm14ErZr after structural relaxation.

Computed properties:
Formation energy = 0.043 eV per atom
Fermi-level density of states = 1.41 states/eV per atom
Magnetization = 0.000 μB per cell

Lattice parameters (Å, degrees): 7.1881 7.1881 10.1344 90.00 90.00 90.00
Space group P4/mmm (No. 123)
Asymmetric unit:
Sm 0.0000 0.0000 0.0000 x1
Sm 0.0000 0.5000 0.0000 x2
Sm 0.0000 0.5000 0.5000 x2
Sm 0.2451 0.2451 0.2567 x8
Sm 0.5000 0.5000 0.0000 x1
Er 0.5000 0.5000 0.5000 x1
Zr 0.0000 0.0000 0.5000 x1

| no. | V (Å³/f.u.) |
| --- | --- |
| 1 | 578.53 |
| 2 | 112.54 |
| 3 | 152.15 |
| 4 | 149.43 |
| 5 | 384.87 |
| 6 | 95.22 |
| 7 | 73.50 |
| 8 | 107.36 |
| 9 | 85.25 |
| 10 | 157.99 |
| 11 | 99.81 |
| 12 | 649.22 |
| 13 | 73.72 |
| 14 | 173.41 |
| 15 | 282.26 |
| 16 | 85.17 |
| 17 | 75.92 |
| 18 | 320.32 |
| 19 | 44.57 |
| 20 | 523.63 |